[1]
First-principles (PBE) data for a relaxed SmOsNO crystal, as listed in OQMD via LeMat-Bulk.

a = 3.7643 Å, b = 5.0757 Å, c = 5.6393 Å
α = 90.00°, β = 90.00°, γ = 90.00°
With the nearest neighbours (Å) after each atom.
Fractional coordinates of all 8 atoms:
O1 0.5000 0.2478 0.0562  1 Os 2.13
O2 0.5000 0.7478 0.9438  1 Os 2.13
Sm1 0.0000 0.5021 0.2003  4 O 2.42-2.68, 3 N 2.53-2.70
Sm2 0.0000 0.0021 0.7997  4 O 2.42-2.68, 3 N 2.53-2.70
Os1 0.5000 0.0061 0.3649  2 N 1.88
Os2 0.5000 0.5061 0.6351  2 N 1.88
N1 0.0000 0.4979 0.6497  2 Os 1.88
N2 0.0000 0.9979 0.3503  2 Os 1.88

Properties
Electronic total energy (Ry per atom): -0.62156

***

[2]
First-principles (PBE) data for a relaxed Sr2Os2NO5 crystal, as listed in OQMD via LeMat-Bulk.

a = 4.0174 Å, b = 4.0174 Å, c = 7.6837 Å
α = 90.00°, β = 90.00°, γ = 90.00°
With the nearest neighbours (Å) after each atom.
Fractional coordinates of all 10 atoms:
O1 0.0000 0.5000 0.7626  2 Os 2.02
O2 0.0000 0.0000 0.0000  2 Os 2.03
O3 0.5000 0.0000 0.2374  2 Os 2.02
O4 0.5000 0.0000 0.7626  2 Os 2.02
O5 0.0000 0.5000 0.2374  2 Os 2.02
Os1 0.0000 0.0000 0.7355  1 N 1.81, 4 O 2.02
Os2 0.0000 0.0000 0.2645  1 N 1.81, 4 O 2.02
Sr1 0.5000 0.5000 0.5000  4 N 2.84, 8 O 2.85
Sr2 0.5000 0.5000 0.0000  12 O 2.71-2.84
N1 0.0000 0.0000 0.5000  2 Os 1.81

Properties
Electronic total energy (Ry per atom): -0.54382

***

[3]
First-principles (PBE) data for a relaxed TaOsNO crystal, as listed in OQMD via LeMat-Bulk.

a = 5.0423 Å, b = 3.4980 Å, c = 6.3294 Å
α = 90.00°, β = 90.03°, γ = 90.00°
With the nearest neighbours (Å) after each atom.
Fractional coordinates of all 8 atoms:
N1 0.3325 0.0000 0.7537  2 Os 1.98-2.16, 2 Ta 2.01
N2 0.8325 0.0000 0.2463  2 Os 1.98-2.16, 2 Ta 2.01
Os1 0.0423 0.0000 0.5430  2 N 1.98-2.16
Os2 0.5424 0.0000 0.4569  2 N 1.98-2.16
Ta1 0.0238 0.5000 0.2120  2 O 1.87-2.03, 2 N 2.01
Ta2 0.5236 0.5000 0.7880  2 O 1.87-2.03, 2 N 2.01
O1 0.3554 0.5000 0.0798  2 Ta 1.87-2.03
O2 0.8554 0.5000 0.9202  2 Ta 1.87-2.03

Properties
Electronic total energy (Ry per atom): -0.72740

***

[4]
First-principles (PBE) data for a relaxed TaOsNO crystal, as listed in OQMD via LeMat-Bulk.

a = 4.1983 Å, b = 4.1983 Å, c = 5.4256 Å
α = 90.00°, β = 90.00°, γ = 90.00°
With the nearest neighbours (Å) after each atom.
Fractional coordinates of all 8 atoms:
N1 0.5000 0.0000 0.5382  1 Os 2.06, 4 Ta 2.11
N2 0.0000 0.5000 0.4618  1 Os 2.06, 4 Ta 2.11
O1 0.5000 0.5000 0.0000  4 Os 2.27
O2 0.0000 0.0000 0.0000  4 Os 2.27
Os1 0.0000 0.5000 0.8408  1 N 2.06, 4 O 2.27
Os2 0.5000 0.0000 0.1592  1 N 2.06, 4 O 2.27
Ta1 0.5000 0.5000 0.5000  4 N 2.11
Ta2 0.0000 0.0000 0.5000  4 N 2.11

Properties
Electronic total energy (Ry per atom): -0.68021